A plane-wave DFT calculation with PBE was carried out for a geometry-optimized BaTlSn2Au5 structure.

Unit cell a=5.3522 b=5.3522 c=8.4878 alpha=90.00 beta=90.00 gamma=90.00
Last column: nearest neighbours and their distance in Å.
Space group P4/mmm (No. 123)
Unique sites:
Ba  0.0000  0.0000  0.0000 x1  12 Au 3.47-3.78
Tl  0.0000  0.0000  0.5000 x1  8 Au 3.36
Sn  0.5000  0.5000  0.3233 x2  5 Au 2.73-2.74, 1 Sn 3.00
Au  0.0000  0.5000  0.2603 x4  2 Sn 2.73
Au  0.5000  0.5000  0.0000 x1  2 Sn 2.74

Properties
The calculation puts the formation energy at -206 kJ/mol of formula units.